## CuHgW3 (PBE)

Data for crystalline CuHgW3 at its relaxed geometry.

ρ, g/cm3: 14.5
Spin magnetization, μB/f.u.: 0.000
ΔE_f, eV per atom: 1.810

Cell lengths 4.5339, 4.5339, 4.5339 Å; angles 90.00, 90.00, 90.00 degrees
Closest atoms and distances in Å follow each position.
Element x y z (fractional)
Cu1 0.0000 0.0000 0.0000  6 W 2.27
Hg1 0.5000 0.5000 0.5000  12 W 3.21
W1 0.0000 0.0000 0.5000  2 Cu 2.27
W2 0.0000 0.5000 0.0000  2 Cu 2.27
W3 0.5000 0.0000 0.0000  2 Cu 2.27

***

## CuHgW2 (PBE)

Data for crystalline CuHgW2 at its relaxed geometry.

ρ, g/cm3: 16.3
Spin magnetization, μB/f.u.: 0.000
ΔE_f, eV per atom: 0.621

Cell lengths 2.7949, 2.7949, 8.2228 Å; angles 90.00, 90.00, 90.00 degrees
Closest atoms and distances in Å follow each position.
Element x y z (fractional)
Cu1 0.0000 0.0000 0.0000  8 W 2.68, 4 Cu 2.79
Hg1 0.0000 0.0000 0.5000  4 Hg 2.79, 8 W 3.03
W1 0.5000 0.5000 0.2208  4 Cu 2.68, 4 W 2.79
W2 0.5000 0.5000 0.7792  4 Cu 2.68, 4 W 2.79